This record from the Alexandria database describes NiSnGe2 after structural relaxation. The functional is PBE-GGA. Values from VASP.

Quantum ESPRESSO input file:
```
&SYSTEM
  ibrav = 0, nat = 8, ntyp = 3
/
ATOMIC_SPECIES
Ni 58.69 Ni.upf
Sn 118.71 Sn.upf
Ge 72.64 Ge.upf
CELL_PARAMETERS angstrom
-2.335 2.335 7.618
2.335 -2.335 7.618
2.335 2.335 -7.618
ATOMIC_POSITIONS crystal
Ni 0.000 0.000 0.000
Ni 0.750 0.250 0.500
Sn 0.250 0.750 0.500
Sn 0.500 0.500 0.000
Ge 0.028 0.625 0.903
Ge 0.375 0.278 0.403
Ge 0.722 0.125 0.097
Ge 0.875 0.972 0.597
```

Calculated values
As for the total magnetic moment: 0.0 μB/f.u. As for the space group: I-42d. The formation energy is 0.10 eV/atom.